No. 1
This record from the Alexandria database describes an optimized crystal structure of NpCdCo4. The functional is GGA-PBE.

abc: 4.959 4.959 4.959
angles: 60.00 60.00 60.00
Element x y z (fractional)
Np  0.000  0.000  0.000
Cd  0.750  0.750  0.750
Co  0.376  0.376  0.376
Co  0.376  0.376  0.873
Co  0.376  0.873  0.376
Co  0.873  0.376  0.376

- SG: F-43m
- V: 14.37 A^3/atom
- Total energy: -7.035 eV/atom

=====

No. 2
This record from the Alexandria database describes an optimized crystal structure of Cr2Se2I. The functional is GGA-PBE.

abc: 8.621 8.621 8.621
angles: 154.88 154.88 35.83
Element x y z (fractional)
Cr  0.167  0.167  0.000
Cr  0.833  0.833  0.000
Se  0.322  0.322  0.000
Se  0.678  0.678  0.000
I  0.000  0.000  0.000

- Uncorrected formation energy: -0.3316 eV/atom
- SG: I4/mmm
- V: 23.07 A^3/atom
- Total energy: -5.885 eV/atom

=====

No. 3
This record from the Alexandria database describes an optimized crystal structure of Rb2AcTaSe4. The functional is GGA-PBE.

abc: 7.182 7.182 7.182
angles: 111.98 111.98 104.57
Element x y z (fractional)
Rb  0.000  0.000  0.000
Rb  0.750  0.250  0.500
Ac  0.500  0.500  0.000
Ta  0.250  0.750  0.500
Se  0.120  0.558  0.068
Se  0.442  0.509  0.562
Se  0.491  0.052  0.932
Se  0.948  0.880  0.438

- Uncorrected formation energy: -0.9971 eV/atom
- SG: I-4
- V: 35.46 A^3/atom
- Total energy: -4.976 eV/atom